(1)
Compound: Pm8RuPb3
Source: Alexandria via LeMat-Bulk
Functional: PBE-GGA
Structure: relaxed

Calculated values
crystal system	tetragonal
D(E_F)	13.40	states/eV/cell

Cell: 7.4008 7.4008 9.0782 Å, 114.06 114.06 90.00°
Last column: nearest neighbours and their distance in Å.
Sites, in units of the cell vectors:
Pm: 0.6487 0.1173 0.7660  1 Ru 3.00, 3 Pb 3.28
Pm: 0.3513 0.3513 0.2340  1 Ru 3.00, 3 Pb 3.28
Pm: 0.8827 0.3513 0.2340  1 Ru 3.00, 3 Pb 3.28
Pm: 0.1173 0.1173 0.7660  1 Ru 3.00, 3 Pb 3.28
Pm: 0.8827 0.8827 0.2340  1 Ru 3.00, 3 Pb 3.28
Pm: 0.6487 0.6487 0.7660  1 Ru 3.00, 3 Pb 3.28
Pm: 0.1173 0.6487 0.7660  1 Ru 3.00, 3 Pb 3.28
Pm: 0.3513 0.8827 0.2340  1 Ru 3.00, 3 Pb 3.28
Pb: 0.2500 0.7500 0.5000  8 Pm 3.28
Pb: 0.7500 0.2500 0.5000  8 Pm 3.28
Pb: 0.5000 0.5000 0.0000  8 Pm 3.28
Ru: 0.0000 0.0000 0.0000  8 Pm 3.00

(2)
Compound: KZrPb2
Source: Alexandria via LeMat-Bulk
Functional: PBE-GGA
Structure: relaxed

Calculated values
crystal system	orthorhombic
energy above the most stable polymorph in this dataset	24.5	kJ/mol of atoms
D(E_F)	2.19	states/eV/cell

Cell: 5.9008 5.9008 3.2812 Å, 90.00 90.00 102.41°
Last column: nearest neighbours and their distance in Å.
Sites, in units of the cell vectors:
K: 0.0000 0.5000 0.5000  2 K 3.28, 8 Pb 3.38
Zr: 0.5000 0.0000 0.5000  2 Zr 3.28, 8 Pb 3.38
Pb: 0.0000 0.0000 0.0000  2 Pb 3.28, 4 Zr 3.38, 4 K 3.38
Pb: 0.5000 0.5000 0.0000  2 Pb 3.28, 4 K 3.38, 4 Zr 3.38

(3)
Compound: LaNdHo4Er2
Source: Alexandria via LeMat-Bulk
Functional: PBE-GGA
Structure: relaxed

Calculated values
crystal system	triclinic
D(E_F)	22.93	states/eV/cell

Cell: 11.5223 7.1625 13.5644 Å, 105.29 148.17 89.98°
Last column: nearest neighbours and their distance in Å.
Sites, in units of the cell vectors:
Ho: 0.0874 0.6678 0.8343  2 Er 3.51-3.52, 2 Nd 3.52-3.57, 2 La 3.57-3.58, 6 Ho 3.57-3.59
Ho: 0.5863 0.1666 0.3335  3 Er 3.52-3.57, 1 Nd 3.52, 2 La 3.57, 6 Ho 3.57-3.59
Ho: 0.5864 0.6672 0.3337  2 Nd 3.52-3.57, 3 Er 3.52-3.57, 1 La 3.57, 6 Ho 3.58
Ho: 0.4134 0.3328 0.6662  2 Nd 3.52-3.57, 3 Er 3.52-3.57, 1 La 3.57, 6 Ho 3.58
Ho: 0.0872 0.1670 0.8343  4 Er 3.51-3.57, 1 La 3.57, 1 Nd 3.57, 6 Ho 3.57-3.59
Ho: 0.9128 0.8329 0.1657  4 Er 3.52-3.58, 1 La 3.57, 1 Nd 3.57, 6 Ho 3.57-3.59
Ho: 0.4137 0.8334 0.6665  3 Er 3.52-3.57, 1 Nd 3.52, 2 La 3.57, 6 Ho 3.57-3.59
Ho: 0.9127 0.3322 0.1656  2 Er 3.52, 2 Nd 3.52-3.57, 2 La 3.57-3.58, 6 Ho 3.57-3.59
Nd: 0.0003 0.5001 0.0002  6 Ho 3.57, 4 La 3.58, 2 Er 3.58
Nd: 0.9997 0.4999 0.4998  6 Ho 3.52, 6 Er 3.58
Er: 0.4998 0.9999 0.9999  6 Ho 3.51-3.52, 4 Er 3.58, 2 Nd 3.58
Er: 0.4997 0.4999 0.9998  6 Ho 3.52, 2 Nd 3.58, 4 Er 3.58
Er: 0.9997 0.9999 0.4998  6 Ho 3.52, 4 Er 3.58, 2 Nd 3.58
Er: 0.5002 0.0001 0.5002  6 Ho 3.57-3.58, 4 La 3.58, 2 Nd 3.58
La: 0.5003 0.5001 0.5002  6 Ho 3.57-3.58, 2 Nd 3.58, 2 Er 3.58, 2 La 3.58
La: 0.0003 0.0002 0.0002  6 Ho 3.57, 2 Er 3.58, 2 Nd 3.58, 2 La 3.58

(4)
Compound: PrEr9In2
Source: Alexandria via LeMat-Bulk
Functional: PBE-GGA
Structure: relaxed

Calculated values
crystal system	tetragonal
D(E_F)	13.01	states/eV/cell

Cell: 4.8443 4.8443 14.8951 Å, 90.00 90.00 90.00°
Last column: nearest neighbours and their distance in Å.
Sites, in units of the cell vectors:
Er: 0.5000 0.0000 0.8245  8 Er 3.43-3.56, 2 In 3.44, 2 Pr 3.56
Er: 0.5000 0.0000 0.5000  4 In 3.40, 8 Er 3.40-3.43
Er: 0.5000 0.5000 0.0000  4 Pr 3.43, 8 Er 3.56
Er: 0.5000 0.5000 0.6605  8 Er 3.40-3.44, 4 In 3.43
Er: 0.0000 0.5000 0.5000  4 In 3.40, 8 Er 3.40-3.43
Er: 0.5000 0.5000 0.3395  8 Er 3.40-3.44, 4 In 3.43
Er: 0.0000 0.5000 0.8245  8 Er 3.43-3.56, 2 In 3.44, 2 Pr 3.56
Er: 0.5000 0.0000 0.1755  8 Er 3.43-3.56, 2 In 3.44, 2 Pr 3.56
Er: 0.0000 0.5000 0.1755  8 Er 3.43-3.56, 2 In 3.44, 2 Pr 3.56
In: 0.0000 0.0000 0.6604  12 Er 3.40-3.44
In: 0.0000 0.0000 0.3396  12 Er 3.40-3.44
Pr: 0.0000 0.0000 0.0000  12 Er 3.43-3.56

(5)
Compound: Ca2LaPd
Source: Alexandria via LeMat-Bulk
Functional: PBE-GGA
Structure: relaxed

Calculated values
crystal system	tetragonal
energy above the most stable polymorph in this dataset	9.7	kJ/mol of atoms
D(E_F)	3.80	states/eV/cell

Cell: 3.6062 3.6062 9.3570 Å, 90.00 90.00 90.00°
Last column: nearest neighbours and their distance in Å.
Sites, in units of the cell vectors:
La: 0.5000 0.5000 0.5000  4 La 3.61, 8 Ca 3.92
Ca: 0.0000 0.0000 0.8187  4 Pd 3.06, 1 Ca 3.39
Ca: 0.0000 0.0000 0.1813  4 Pd 3.06, 1 Ca 3.39
Pd: 0.5000 0.5000 0.0000  8 Ca 3.06

(6)
Compound: LiAl2
Source: Alexandria via LeMat-Bulk
Functional: PBE-GGA
Structure: relaxed

Calculated values
crystal system	orthorhombic
energy above the most stable polymorph in this dataset	2.6	kJ/mol of atoms
D(E_F)	1.02	states/eV/cell

Cell: 4.8821 4.8821 4.8821 Å, 145.59 130.86 61.36°
Last column: nearest neighbours and their distance in Å.
Sites, in units of the cell vectors:
Al: 0.6704 0.6704 0.0000  5 Li 2.77-2.87, 7 Al 2.83-2.89
Al: 0.3296 0.3296 0.0000  5 Li 2.77-2.87, 7 Al 2.83-2.89
Li: 0.0000 0.0000 0.0000  10 Al 2.77-2.87, 2 Li 2.89

(7)
Compound: Y3TmIr3
Source: Alexandria via LeMat-Bulk
Functional: PBE-GGA
Structure: relaxed

Calculated values
crystal system	trigonal
D(E_F)	6.13	states/eV/cell

Cell: 5.8950 5.9598 5.8950 Å, 109.69 109.25 109.69°
Last column: nearest neighbours and their distance in Å.
Sites, in units of the cell vectors:
Ir: 0.4999 0.0036 0.4999  6 Y 2.95-2.98, 2 Tm 2.95
Ir: 0.0000 0.5036 0.5001  6 Y 2.95-2.98, 2 Tm 2.95
Ir: 0.5001 0.5036 0.0000  6 Y 2.95-2.98, 2 Tm 2.95
Y: 0.5004 0.5039 0.5004  6 Ir 2.95-2.98
Y: 0.4996 0.0036 0.0000  6 Ir 2.95-2.98
Y: 0.0000 0.0036 0.4996  6 Ir 2.95-2.98
Tm: 0.0000 0.5031 0.0000  6 Ir 2.95

(8)
Compound: CaTc3P
Source: Alexandria via LeMat-Bulk
Functional: PBE-GGA
Structure: relaxed

Calculated values
crystal system	cubic
energy above the most stable polymorph in this dataset	240.2	kJ/mol of atoms
D(E_F)	5.93	states/eV/cell

Cell: 4.6374 4.6374 4.6374 Å, 90.00 90.00 90.00°
Last column: nearest neighbours and their distance in Å.
Sites, in units of the cell vectors:
Tc: 0.0000 0.0000 0.5000  2 Ca 2.32
Tc: 0.0000 0.5000 0.0000  2 Ca 2.32
Tc: 0.5000 0.0000 0.0000  2 Ca 2.32
Ca: 0.0000 0.0000 0.0000  6 Tc 2.32
P: 0.5000 0.5000 0.5000  12 Tc 3.28

| no. | energy relative to the elements (eV per atom) |
| --- | --- |
| 1 | -0.227 |
| 2 | 0.102 |
| 3 | 0.004 |
| 4 | -0.155 |
| 5 | -0.304 |
| 6 | -0.083 |
| 7 | -0.726 |
| 8 | 2.746 |